Below is a relaxed LiBr2 crystal, with properties calculated at the GGA-PBE level.

The space group is I4_1/amd (No. 141, origin choice 2) and the conventional cell measures 3.6914, 3.6914 and 22.4599 Å, with angles of 90.00, 90.00 and 90.00 degrees. The asymmetric unit holds Li at (0.0000, 0.2500, 0.3750) and Br at (0.0000, 0.2500, 0.8112).

The calculation puts the calculated total energy at -2.492 eV/atom. As for the uncorrected formation energy: -0.739 eV per atom. For the energy above the most stable polymorph in this dataset, the calculation gives 0.247 eV per atom. For the total magnetic moment, the calculation gives 0.0 μB per cell.

=====

Below is a relaxed LiBr2 crystal, with properties calculated at the GGA-PBE level.

The space group is P6_3/mmc (No. 194) and the conventional cell measures 6.4965, 6.4965 and 5.0216 Å, with angles of 90.00, 90.00 and 120.00 degrees. The asymmetric unit holds Li at (0.3333, 0.6667, 0.2500), Br at (0.0000, 0.0000, 0.0000) and Br at (0.3333, 0.6667, 0.7500).

The calculation puts the calculated total energy at -2.542 eV/atom. As for the uncorrected formation energy: -0.789 eV per atom. For the energy above the most stable polymorph in this dataset, the calculation gives 0.197 eV per atom. For the total magnetic moment, the calculation gives 0.0 μB per cell.

=====

Below is a relaxed Li5Br4 crystal, with properties calculated at the GGA-PBE level.

The space group is P6_3/mcm (No. 193) and the conventional cell measures 7.9353, 7.9353 and 7.6331 Å, with angles of 90.00, 90.00 and 120.00 degrees. The asymmetric unit holds Li at (0.0000, 0.2461, 0.2500), Li at (0.3333, 0.6667, 0.0000), Br at (0.0000, 0.0000, 0.0000) and Br at (0.0000, 0.4196, 0.7500).

The calculation puts the calculated total energy at -2.936 eV/atom. As for the uncorrected formation energy: -1.130 eV per atom. For the energy above the most stable polymorph in this dataset, the calculation gives 0.042 eV per atom. For the total magnetic moment, the calculation gives 0.0 μB per cell.

=====

Below is a relaxed LiBr crystal, with properties calculated at the GGA-PBE level.

The space group is I-43m (No. 217) and the conventional cell measures 8.0182, 8.0182 and 8.0182 Å, with angles of 90.00, 90.00 and 90.00 degrees. The asymmetric unit holds Li at (0.1497, 0.1497, 0.1497) and Br at (0.1707, 0.1707, 0.8293).

The calculation puts the calculated total energy at -3.307 eV/atom. As for the uncorrected formation energy: -1.513 eV per atom. For the total magnetic moment, the calculation gives 0.0 μB per cell.

=====

Below is a relaxed LiBr8 crystal, with properties calculated at the GGA-PBE level.

The space group is I4/mmm (No. 139) and the conventional cell measures 12.7607, 12.7607 and 4.3974 Å, with angles of 90.00, 90.00 and 90.00 degrees. The asymmetric unit holds Li at (0.0000, 0.0000, 0.0000), Br at (0.0000, 0.2065, 0.0000) and Br at (0.1468, 0.1468, 0.5000).

The calculation puts the calculated total energy at -1.681 eV/atom. As for the uncorrected formation energy: 0.019 eV per atom. For the total magnetic moment, the calculation gives 0.0 μB per cell.

=====

Below is a relaxed LiBr2 crystal, with properties calculated at the GGA-PBE level.

The space group is P-1 (No. 2) and the conventional cell measures 3.9783, 3.9789 and 5.7038 Å, with angles of 109.21, 97.39 and 109.85 degrees. The asymmetric unit holds Li at (0.0000, 0.0000, 0.0000) and Br at (0.4876, 0.7583, 0.2466).

The calculation puts the calculated total energy at -2.679 eV/atom. As for the uncorrected formation energy: -0.925 eV per atom. For the energy above the most stable polymorph in this dataset, the calculation gives 0.060 eV per atom. For the total magnetic moment, the calculation gives 0.0 μB per cell.

=====

Below is a relaxed LiBr crystal, with properties calculated at the GGA-PBE level.

The space group is P4/m (No. 83) and the conventional cell measures 11.2263, 11.2263 and 4.2973 Å, with angles of 90.00, 90.00 and 90.00 degrees. The asymmetric unit holds Li at (0.0848, 0.3793, 0.0000), Li at (0.1225, 0.7160, 0.5000), Br at (0.1067, 0.2612, 0.5000) and Br at (0.1480, 0.5959, 0.0000).

The calculation puts the calculated total energy at -3.314 eV/atom. As for the uncorrected formation energy: -1.520 eV per atom. For the total magnetic moment, the calculation gives 0.0 μB per cell.

=====

Below is a relaxed LiBr5 crystal, with properties calculated at the GGA-PBE level.

The space group is Cm (No. 8) and the conventional cell measures 9.3369, 4.0099 and 11.8691 Å, with angles of 90.00, 99.83 and 90.00 degrees. The asymmetric unit holds Li at (0.0000, 0.0000, 0.0000), Br at (0.0737, 0.0000, 0.3566), Br at (0.1225, 0.5000, 0.8304), Br at (0.3216, 0.5000, 0.3644), Br at (0.3427, 0.0000, 0.0375) and Br at (0.4463, 0.0000, 0.6641).

The calculation puts the calculated total energy at -2.074 eV/atom. As for the uncorrected formation energy: -0.361 eV per atom. For the energy above the most stable polymorph in this dataset, the calculation gives 0.000 eV per atom. For the total magnetic moment, the calculation gives 0.0 μB per cell.

=====

Below is a relaxed LiBr crystal, with properties calculated at the GGA-PBE level.

The space group is P4_2/mnm (No. 136) and the conventional cell measures 7.0990, 7.0990 and 4.2529 Å, with angles of 90.00, 90.00 and 90.00 degrees. The asymmetric unit holds Li at (0.1704, 0.1704, 0.0000) and Br at (0.1920, 0.8081, 0.0000).

The calculation puts the calculated total energy at -3.335 eV/atom. As for the uncorrected formation energy: -1.541 eV per atom. For the total magnetic moment, the calculation gives 0.0 μB per cell.

=====

Below is a relaxed Li2Br3 crystal, with properties calculated at the GGA-PBE level.

The space group is R-3m (No. 166, hexagonal axes) and the conventional cell measures 4.0492, 4.0492 and 25.4744 Å, with angles of 90.00, 90.00 and 120.00 degrees. The asymmetric unit holds Li at (0.0000, 0.0000, 0.1003), Br at (0.0000, 0.0000, 0.2784) and Br at (0.0000, 0.0000, 0.5000).

The calculation puts the calculated total energy at -2.799 eV/atom. As for the uncorrected formation energy: -1.030 eV per atom. For the energy above the most stable polymorph in this dataset, the calculation gives 0.006 eV per atom. For the total magnetic moment, the calculation gives 2.4 μB per cell.

=====

Below is a relaxed LiBr2 crystal, with properties calculated at the GGA-PBE level.

The space group is P4/mmm (No. 123) and the conventional cell measures 5.1737, 5.1737 and 2.9297 Å, with angles of 90.00, 90.00 and 90.00 degrees. The asymmetric unit holds Li at (0.0000, 0.0000, 0.0000) and Br at (0.0000, 0.5000, 0.5000).

The calculation puts the calculated total energy at -2.473 eV/atom. As for the uncorrected formation energy: -0.720 eV per atom. For the energy above the most stable polymorph in this dataset, the calculation gives 0.266 eV per atom. For the total magnetic moment, the calculation gives 0.0 μB per cell.

=====

Below is a relaxed LiBr2 crystal, with properties calculated at the GGA-PBE level.

The space group is Pm (No. 6) and the conventional cell measures 2.9595, 3.9494 and 7.3722 Å, with angles of 90.00, 90.19 and 90.00 degrees. The asymmetric unit holds Li at (0.0000, 0.0000, 0.0000), Br at (0.0050, 0.0000, 0.3334) and Br at (0.4991, 0.5000, 0.8577).

The calculation puts the calculated total energy at -2.600 eV/atom. As for the uncorrected formation energy: -0.846 eV per atom. For the energy above the most stable polymorph in this dataset, the calculation gives 0.139 eV per atom. For the total magnetic moment, the calculation gives 0.2 μB per cell.

=====

Below is a relaxed LiBr crystal, with properties calculated at the GGA-PBE level.

The space group is Pmn2_1 (No. 31) and the conventional cell measures 11.8564, 4.0093 and 7.1636 Å, with angles of 90.00, 90.00 and 90.00 degrees. The asymmetric unit holds Li at (0.0000, 0.0254, 0.0000), Li at (0.2119, 0.3579, 0.2070), Br at (0.0000, 0.5267, 0.2274) and Br at (0.1946, 0.1423, 0.8642).

The calculation puts the calculated total energy at -3.288 eV/atom. As for the uncorrected formation energy: -1.495 eV per atom. For the total magnetic moment, the calculation gives 0.0 μB per cell.

=====

Below is a relaxed LiBr4 crystal, with properties calculated at the GGA-PBE level.

The space group is Im-3m (No. 229) and the conventional cell measures 6.5248, 6.5248 and 6.5248 Å, with angles of 90.00, 90.00 and 90.00 degrees. The asymmetric unit holds Li at (0.0000, 0.0000, 0.0000) and Br at (0.2500, 0.2500, 0.2500).

The calculation puts the calculated total energy at -1.911 eV/atom. As for the uncorrected formation energy: -0.190 eV per atom. For the energy above the most stable polymorph in this dataset, the calculation gives 0.000 eV per atom. For the total magnetic moment, the calculation gives 0.0 μB per cell.

=====

Below is a relaxed LiBr crystal, with properties calculated at the GGA-PBE level.

The space group is Fm-3m (No. 225) and the conventional cell measures 5.5121, 5.5121 and 5.5121 Å, with angles of 90.00, 90.00 and 90.00 degrees. The asymmetric unit holds Li at (0.0000, 0.0000, 0.0000) and Br at (0.0000, 0.0000, 0.5000).

The calculation puts the calculated total energy at -3.316 eV/atom. As for the uncorrected formation energy: -1.523 eV per atom. For the total magnetic moment, the calculation gives 0.0 μB per cell.

=====

Below is a relaxed LiBr2 crystal, with properties calculated at the GGA-PBE level.

The space group is P-62m (No. 189) and the conventional cell measures 7.3706, 7.3706 and 5.0402 Å, with angles of 90.00, 90.00 and 120.00 degrees. The asymmetric unit holds Li at (0.0000, 0.0000, 0.0000), Li at (0.3333, 0.6667, 0.5000), Br at (0.0000, 0.3106, 0.5000) and Br at (0.0000, 0.6568, 0.0000).

The calculation puts the calculated total energy at -2.446 eV/atom. As for the uncorrected formation energy: -0.693 eV per atom. For the energy above the most stable polymorph in this dataset, the calculation gives 0.293 eV per atom. For the total magnetic moment, the calculation gives 2.2 μB per cell.

=====

Below is a relaxed LiBr crystal, with properties calculated at the GGA-PBE level.

The space group is Pmmn (No. 59, origin choice 2) and the conventional cell measures 4.1781, 13.0060 and 6.0278 Å, with angles of 90.00, 90.00 and 90.00 degrees. The asymmetric unit holds Li at (0.2500, 0.0976, 0.0580), Li at (0.2500, 0.7500, 0.4371), Br at (0.2500, 0.2500, 0.3205) and Br at (0.2500, 0.5912, 0.1870).

The calculation puts the calculated total energy at -3.319 eV/atom. As for the uncorrected formation energy: -1.525 eV per atom. For the total magnetic moment, the calculation gives 0.0 μB per cell.

=====

Below is a relaxed LiBr crystal, with properties calculated at the GGA-PBE level.

The space group is P6_3/m (No. 176) and the conventional cell measures 9.9615, 9.9615 and 4.3033 Å, with angles of 90.00, 90.00 and 120.00 degrees. The asymmetric unit holds Li at (0.0662, 0.4154, 0.2500) and Br at (0.0899, 0.6871, 0.2500).

The calculation puts the calculated total energy at -3.321 eV/atom. As for the uncorrected formation energy: -1.528 eV per atom. For the total magnetic moment, the calculation gives 0.0 μB per cell.

=====

Below is a relaxed LiBr crystal, with properties calculated at the GGA-PBE level.

The space group is I4/m (No. 87) and the conventional cell measures 10.6908, 10.6908 and 4.2138 Å, with angles of 90.00, 90.00 and 90.00 degrees. The asymmetric unit holds Li at (0.1337, 0.7050, 0.0000) and Br at (0.1012, 0.2783, 0.0000).

The calculation puts the calculated total energy at -3.317 eV/atom. As for the uncorrected formation energy: -1.523 eV per atom. For the total magnetic moment, the calculation gives 0.0 μB per cell.

=====

Below is a relaxed LiLuBr2 crystal, with properties calculated at the GGA-PBE level.

The space group is R-3m (No. 166, hexagonal axes) and the conventional cell measures 3.8397, 3.8397 and 25.5954 Å, with angles of 90.00, 90.00 and 120.00 degrees. The asymmetric unit holds Li at (0.0000, 0.0000, 0.0000), Lu at (0.0000, 0.0000, 0.5000) and Br at (0.0000, 0.0000, 0.3933).

The calculation puts the calculated total energy at -3.610 eV/atom. As for the uncorrected formation energy: -1.164 eV per atom. For the total magnetic moment, the calculation gives 0.0 μB per cell.

=====

Below is a relaxed Li2MgBr crystal, with properties calculated at the GGA-PBE level.

The space group is P2/m (No. 10) and the conventional cell measures 3.8556, 3.7039 and 6.6376 Å, with angles of 90.00, 105.42 and 90.00 degrees. The asymmetric unit holds Li at (0.0898, 0.0000, 0.2372), Mg at (0.5000, 0.5000, 0.0000) and Br at (0.0000, 0.5000, 0.5000).

The calculation puts the calculated total energy at -2.331 eV/atom. As for the uncorrected formation energy: -0.558 eV per atom. For the energy above the most stable polymorph in this dataset, the calculation gives 0.055 eV per atom. For the total magnetic moment, the calculation gives 0.0 μB per cell.

=====

Below is a relaxed Li6MgBr8 crystal, with properties calculated at the GGA-PBE level.

The space group is Fm-3m (No. 225) and the conventional cell measures 11.0526, 11.0526 and 11.0526 Å, with angles of 90.00, 90.00 and 90.00 degrees. The asymmetric unit holds Li at (0.0000, 0.2500, 0.2500), Mg at (0.0000, 0.0000, 0.0000), Br at (0.0000, 0.0000, 0.2431) and Br at (0.2500, 0.2500, 0.2500).

The calculation puts the calculated total energy at -3.280 eV/atom. As for the uncorrected formation energy: -1.516 eV per atom. For the total magnetic moment, the calculation gives 0.0 μB per cell.

=====

Below is a relaxed Li2MgBr4 crystal, with properties calculated at the GGA-PBE level.

The space group is Cmmm (No. 65) and the conventional cell measures 7.8700, 11.1293 and 3.8893 Å, with angles of 90.00, 90.00 and 90.00 degrees. The asymmetric unit holds Li at (0.2500, 0.2500, 0.0000), Mg at (0.0000, 0.0000, 0.5000), Br at (0.0000, 0.2413, 0.5000) and Br at (0.2374, 0.0000, 0.0000).

The calculation puts the calculated total energy at -3.237 eV/atom. As for the uncorrected formation energy: -1.507 eV per atom. For the energy above the most stable polymorph in this dataset, the calculation gives 0.000 eV per atom. For the total magnetic moment, the calculation gives 0.0 μB per cell.

=====

Below is a relaxed LiMgBr2 crystal, with properties calculated at the GGA-PBE level.

The space group is Pmmm (No. 47) and the conventional cell measures 3.8997, 4.0271 and 7.7054 Å, with angles of 90.00, 90.00 and 90.00 degrees. The asymmetric unit holds Li at (0.0000, 0.0000, 0.0000), Mg at (0.0000, 0.5000, 0.5000), Br at (0.5000, 0.0000, 0.5000) and Br at (0.5000, 0.5000, 0.0000).

The calculation puts the calculated total energy at -2.604 eV/atom. As for the uncorrected formation energy: -0.890 eV per atom. For the energy above the most stable polymorph in this dataset, the calculation gives 0.107 eV per atom. For the total magnetic moment, the calculation gives 0.0 μB per cell.